No. 1
A relaxed Cs2Zr4Cr crystal, computed with PBE.

Lattice parameters (Å, degrees): 5.125 5.125 20.649 90.00 90.00 90.00
Space group I4/mmm (No. 139)
Asymmetric unit:
Cs 0.000 0.000 0.176 x4
Zr 0.000 0.000 0.391 x4
Zr 0.000 0.500 0.000 x4
Cr 0.000 0.000 0.500 x2

As for the formation enthalpy at 0 K: 0.989 eV per atom. The calculation puts the calculated volume at 38.74 Å³ per atom.


No. 2
A relaxed CeTm3Pb4 crystal, computed with PBE.

Lattice parameters (Å, degrees): 14.945 5.722 5.722 90.00 112.27 90.00
Space group C2/m (No. 12)
Asymmetric unit:
Ce 0.000 0.000 0.000 x2
Tm 0.000 0.500 0.500 x2
Tm 0.247 0.500 0.747 x4
Pb 0.129 0.000 0.629 x4
Pb 0.129 0.500 0.129 x4

As for the formation enthalpy at 0 K: -0.352 eV per atom. The calculation puts the calculated volume at 28.30 Å³ per atom.


No. 3
A relaxed Tb4Y7Ho crystal, computed with PBE.

Lattice parameters (Å, degrees): 12.089 5.878 12.754 90.00 118.00 90.00
Space group C2/m (No. 12)
Asymmetric unit:
Tb 0.141 0.000 0.276 x4
Tb 0.234 0.500 0.175 x4
Y 0.000 0.000 0.500 x2
Y 0.065 0.500 0.815 x4
Y 0.133 0.000 0.998 x4
Y 0.211 0.500 0.424 x4
Ho 0.000 0.500 0.500 x2

As for the formation enthalpy at 0 K: 0.294 eV per atom. The value obtained for the energy above the most stable polymorph in this dataset is 206.6 meV/atom. The calculation puts the calculated volume at 33.35 Å³ per atom.


No. 4
A relaxed Ca2PdAu6 crystal, computed with PBE.

Lattice parameters (Å, degrees): 9.817 5.663 6.773 90.00 90.26 90.00
Space group C2/m (No. 12)
Asymmetric unit:
Ca 0.167 0.000 0.122 x4
Pd 0.000 0.500 0.000 x2
Au 0.085 0.244 0.679 x8
Au 0.171 0.500 0.323 x4

As for the formation enthalpy at 0 K: -0.516 eV per atom. The calculation puts the calculated volume at 20.92 Å³ per atom.